Version a
Compound: PmZn2Ni3
Source: Alexandria
Functional: GGA-PBE
Structure: optimized geometry

```
PmZn2Ni3
1.0
-4.039 -2.994 -1.322
3.277 -2.445 -4.475
2.563 -4.708 2.830
Ni Pm Zn
6 2 4
Direct
0.250 0.142 0.572
0.750 0.858 0.428
0.250 0.428 0.858
0.250 0.035 0.965
0.750 0.965 0.035
0.750 0.572 0.142
0.750 0.321 0.679
0.250 0.679 0.321
0.000 0.221 0.221
0.000 0.779 0.779
0.500 0.221 0.221
0.500 0.779 0.779
```

* N(E_F): 0.66 states/eV per atom

***

Version b
Compound: PmZn2Ni3
Source: Alexandria
Functional: GGA-PBE
Structure: optimized geometry

```
PmZn2Ni3
1.0
-3.087 2.325 -0.492
-0.757 -2.010 -4.748
-2.295 -2.170 4.145
Zn Pm Ni
2 1 3
Direct
0.000 0.335 0.667
0.000 0.668 0.333
0.000 0.001 0.000
0.500 0.001 0.500
0.500 0.501 0.000
0.500 0.501 0.500
```

* N(E_F): 0.49 states/eV per atom

***

Most stable: version b (next structure +8.9 kJ/mol of atoms)